A plane-wave DFT calculation with PBE was carried out for an optimized crystal structure of Nd3CdO.

Values from the calculation:
Total magnetic moment ... 0.00 μB per atom
Formation energy (no corrections) ... -1.278 eV/atom

Lattice parameters (Å, degrees): 4.9914 4.9914 4.9914 90.00 90.00 90.00
With the nearest neighbours (Å) after each atom.
Fractional coordinates of all 5 atoms:
Nd (0.0000, 0.5000, 0.0000)  2 O 2.50
Nd (0.0000, 0.0000, 0.5000)  2 O 2.50
Nd (0.5000, 0.0000, 0.0000)  2 O 2.50
O (0.0000, 0.0000, 0.0000)  6 Nd 2.50
Cd (0.5000, 0.5000, 0.5000)  12 Nd 3.53

A plane-wave DFT calculation with PBE was carried out for an optimized crystal structure of Mg3VCl.

Values from the calculation:
Total magnetic moment ... 0.92 μB per atom
Formation energy (no corrections) ... 0.644 eV/atom

Lattice parameters (Å, degrees): 5.4221 5.4221 5.4221 90.00 90.00 90.00
With the nearest neighbours (Å) after each atom.
Fractional coordinates of all 5 atoms:
Mg (0.0000, 0.5000, 0.0000)  2 V 2.71
Mg (0.0000, 0.0000, 0.5000)  2 V 2.71
Mg (0.5000, 0.0000, 0.0000)  2 V 2.71
V (0.0000, 0.0000, 0.0000)  6 Mg 2.71
Cl (0.5000, 0.5000, 0.5000)  12 Mg 3.83

A plane-wave DFT calculation with PBE was carried out for an optimized crystal structure of Ta2InP.

Values from the calculation:
Formation energy from the elements ... 267 meV per atom
Total magnetic moment ... 0.00 μB per atom

Lattice parameters (Å, degrees): 5.2799 5.2799 5.2799 135.75 135.75 64.37
With the nearest neighbours (Å) after each atom.
Fractional coordinates of all 4 atoms:
In (0.5000, 0.5000, 0.0000)  8 Ta 2.81-2.99, 4 P 2.99
P (0.7500, 0.2500, 0.5000)  8 Ta 2.81-2.99, 4 In 2.99
Ta (0.0000, 0.0000, 0.0000)  4 In 2.81, 4 P 2.99, 4 Ta 2.99
Ta (0.2500, 0.7500, 0.5000)  4 P 2.81, 4 Ta 2.99, 4 In 2.99

A plane-wave DFT calculation with PBE was carried out for an optimized crystal structure of Li2CdAu6.

Values from the calculation:
Formation energy from the elements ... -215 meV per atom
Total magnetic moment ... 0.00 μB per atom

Lattice parameters (Å, degrees): 3.7729 7.7070 7.4582 121.12 104.71 90.01
With the nearest neighbours (Å) after each atom.
Fractional coordinates of all 9 atoms:
Li (0.6910, 0.6915, 0.3830)  8 Au 2.64-2.80
Li (0.3090, 0.3085, 0.6170)  8 Au 2.64-2.80
Cd (0.0000, 0.0000, 0.0000)  8 Au 2.88-2.98
Au (0.1669, 0.4305, 0.3342)  3 Li 2.64-2.66, 4 Au 2.77-2.79, 1 Cd 2.88
Au (0.8331, 0.0963, 0.6658)  3 Li 2.64-2.66, 4 Au 2.77-2.79, 1 Cd 2.88
Au (0.8331, 0.5695, 0.6658)  3 Li 2.64-2.66, 4 Au 2.77-2.79, 1 Cd 2.88
Au (0.5000, 0.2989, 0.0000)  5 Au 2.79-3.10, 2 Li 2.80, 2 Cd 2.98
Au (0.1669, 0.9037, 0.3342)  3 Li 2.64-2.66, 4 Au 2.77-2.79, 1 Cd 2.88
Au (0.5000, 0.7011, 0.0000)  5 Au 2.79-3.10, 2 Li 2.80, 2 Cd 2.98

A plane-wave DFT calculation with PBE was carried out for an optimized crystal structure of YTaW2.

Values from the calculation:
Formation energy from the elements ... 369 meV per atom
Total magnetic moment ... 0.00 μB per atom

Lattice parameters (Å, degrees): 2.8967 2.8967 9.5874 90.00 90.00 110.57
With the nearest neighbours (Å) after each atom.
Fractional coordinates of all 4 atoms:
Ta (0.5000, 0.5000, 0.7500)  4 W 2.74, 4 Ta 2.90
W (0.0000, 0.0000, 0.9776)  2 Ta 2.74, 4 W 2.90
W (0.0000, 0.0000, 0.5224)  2 Ta 2.74, 4 W 2.90
Y (0.5000, 0.5000, 0.2500)  4 Y 2.90, 4 W 3.09

A plane-wave DFT calculation with PBE was carried out for an optimized crystal structure of LaSi2IrOs.

Values from the calculation:
Total magnetic moment ... 0.00 μB per atom
Formation energy (no corrections) ... -0.895 eV/atom

Lattice parameters (Å, degrees): 4.2011 4.2011 5.8704 110.97 110.97 90.00
With the nearest neighbours (Å) after each atom.
Fractional coordinates of all 5 atoms:
La (0.0000, 0.0000, 0.0000)  8 Si 3.26, 4 Os 3.29, 4 Ir 3.29
Si (0.6317, 0.6317, 0.2635)  2 Os 2.42, 2 Ir 2.42, 1 Si 2.67
Si (0.3683, 0.3683, 0.7365)  2 Os 2.42, 2 Ir 2.42, 1 Si 2.67
Ir (0.2500, 0.7500, 0.5000)  4 Si 2.42
Os (0.7500, 0.2500, 0.5000)  4 Si 2.42

A plane-wave DFT calculation with PBE was carried out for an optimized crystal structure of CeBeAs.

Values from the calculation:
Formation energy from the elements ... -219 meV per atom
Total magnetic moment ... 0.24 μB per atom

Lattice parameters (Å, degrees): 4.0795 4.0795 4.8635 114.80 114.80 90.00
With the nearest neighbours (Å) after each atom.
Fractional coordinates of all 3 atoms:
Be (0.9190, 0.9190, 0.8380)  1 As 2.12
As (0.6482, 0.6482, 0.2963)  1 Be 2.12
Ce (0.2828, 0.2828, 0.5657)  5 Be 2.85-3.08, 5 As 2.86-3.07

A plane-wave DFT calculation with PBE was carried out for an optimized crystal structure of AcZn2Cu4.

Values from the calculation:
Formation energy from the elements ... -151 meV per atom
Total magnetic moment ... 0.00 μB per atom

Lattice parameters (Å, degrees): 5.2409 5.3775 5.3777 76.50 61.18 61.18
With the nearest neighbours (Å) after each atom.
Fractional coordinates of all 7 atoms:
Ac (0.0000, 0.0000, 0.0000)  12 Cu 2.95-3.16
Zn (0.7503, 0.4998, 0.4998)  2 Zn 2.62, 8 Cu 2.75-2.77
Zn (0.2497, 0.5002, 0.5002)  2 Zn 2.62, 8 Cu 2.75-2.77
Cu (0.6862, 0.6256, 0.0001)  2 Cu 2.49-2.50, 4 Zn 2.75-2.77
Cu (0.3138, 0.3744, 0.9999)  2 Cu 2.49-2.50, 4 Zn 2.75-2.77
Cu (0.6863, 0.0001, 0.6256)  2 Cu 2.49-2.50, 4 Zn 2.75-2.77
Cu (0.3138, 0.9999, 0.3744)  2 Cu 2.49-2.50, 4 Zn 2.75-2.77